Record 1
K2AlAuS: optimized geometry, PBE.

## Properties
The uncorrected formation energy comes out at -0.065 eV/f.u.

Cell and atoms, written as CIF:
```
data_K2AlAuS
_cell_length_a 6.129
_cell_length_b 6.129
_cell_length_c 4.742
_cell_angle_alpha 90.00
_cell_angle_beta 90.00
_cell_angle_gamma 90.00
_symmetry_space_group_name_H-M 'P 1'
_symmetry_Int_Tables_number 1
loop_
_symmetry_equiv_pos_as_xyz
'x,y,z'
loop_
_atom_site_label
_atom_site_type_symbol
_atom_site_fract_x
_atom_site_fract_y
_atom_site_fract_z
_atom_site_occupancy
K1 K 0.000 0.500 0.000 1
K2 K 0.500 0.000 0.000 1
Al1 Al 0.000 0.000 0.500 1
Au1 Au 0.500 0.500 0.500 1
S1 S 0.500 0.500 0.000 1
```

Record 2
EuTmMgAl: optimized geometry, PBE.

## Properties
The energy relative to the elements is -0.181 eV per atom.

Cell and atoms, written as CIF:
```
data_EuTmMgAl
_cell_length_a 5.299
_cell_length_b 5.299
_cell_length_c 5.299
_cell_angle_alpha 60.00
_cell_angle_beta 60.00
_cell_angle_gamma 60.00
_symmetry_space_group_name_H-M 'P 1'
_symmetry_Int_Tables_number 1
loop_
_symmetry_equiv_pos_as_xyz
'x,y,z'
loop_
_atom_site_label
_atom_site_type_symbol
_atom_site_fract_x
_atom_site_fract_y
_atom_site_fract_z
_atom_site_occupancy
Eu1 Eu 0.000 0.000 0.000 1
Tm1 Tm 0.500 0.500 0.500 1
Mg1 Mg 0.750 0.750 0.750 1
Al1 Al 0.250 0.250 0.250 1
```

Record 3
ZrP2RuS: optimized geometry, PBE.

## Properties
The uncorrected formation energy comes out at 1.225 eV/f.u.

Cell and atoms, written as CIF:
```
data_ZrP2RuS
_cell_length_a 4.438
_cell_length_b 4.438
_cell_length_c 4.900
_cell_angle_alpha 90.00
_cell_angle_beta 90.00
_cell_angle_gamma 90.00
_symmetry_space_group_name_H-M 'P 1'
_symmetry_Int_Tables_number 1
loop_
_symmetry_equiv_pos_as_xyz
'x,y,z'
loop_
_atom_site_label
_atom_site_type_symbol
_atom_site_fract_x
_atom_site_fract_y
_atom_site_fract_z
_atom_site_occupancy
Zr1 Zr 0.000 0.000 0.000 1
P1 P 0.000 0.500 0.500 1
P2 P 0.500 0.000 0.500 1
Ru1 Ru 0.500 0.500 0.500 1
S1 S 0.500 0.500 0.000 1
```

no.,calculated total energy (eV/atom)
1,-2.681
2,-5.202
3,-6.309